A plane-wave DFT calculation with PBE-GGA was carried out for an optimized crystal structure of Re7Te6.

The raw total energy is -291.45 eV per cell. For the volume, the calculation gives 22.6 Å³ per atom. For the uncorrected formation energy, the calculation gives 680 meV per atom. The calculation puts the total magnetic moment at 0.00 μB per atom.

The structure belongs to space group R-3m (No. 166, hexagonal axes); the cell edges are 5.3500, 5.3500 and 35.4809 Å and the angles 90.00°, 90.00° and 120.00°. The inequivalent atoms are Re at (0.0000, 0.0000, 0.0000), Re at (0.0024, 0.5012, 0.4027), Te at (0.0000, 0.0000, 0.1339), Te at (0.0000, 0.0000, 0.3290) and Te at (0.0000, 0.0000, 0.4320).



A plane-wave DFT calculation with PBE-GGA was carried out for an optimized crystal structure of ReTe.

The raw total energy is -28.86 eV per cell. For the volume, the calculation gives 20.9 Å³ per atom. Its excess energy over the best structure of this formula in the dataset is 0.252 eV/atom. For the uncorrected formation energy, the calculation gives 580 meV per atom. The calculation puts the total magnetic moment at 0.00 μB per atom.

The structure belongs to space group P6_3/mmc (No. 194); the cell edges are 4.3146, 4.3146 and 5.1773 Å and the angles 90.00°, 90.00° and 120.00°. The inequivalent atoms are Re at (0.0000, 0.0000, 0.0000) and Te at (0.3333, 0.6667, 0.2500).



A plane-wave DFT calculation with PBE-GGA was carried out for an optimized crystal structure of ReTe.

The raw total energy is -83.83 eV per cell. For the volume, the calculation gives 24.4 Å³ per atom. Its excess energy over the best structure of this formula in the dataset is 0.480 eV/atom. For the uncorrected formation energy, the calculation gives 809 meV per atom. The calculation puts the total magnetic moment at 0.00 μB per atom.

The structure belongs to space group Pmmn (No. 59, origin choice 2); the cell edges are 3.3042, 12.0917 and 7.3433 Å and the angles 90.00°, 90.00° and 90.00°. The inequivalent atoms are Re at (0.2500, 0.0748, 0.0296), Re at (0.2500, 0.7500, 0.4870), Te at (0.2500, 0.2500, 0.7919) and Te at (0.2500, 0.5726, 0.6789).



A plane-wave DFT calculation with PBE-GGA was carried out for an optimized crystal structure of Re2Te.

The raw total energy is -24.82 eV per cell. For the volume, the calculation gives 20.4 Å³ per atom. Its excess energy over the best structure of this formula in the dataset is 0.905 eV/atom. For the uncorrected formation energy, the calculation gives 1073 meV per atom. The calculation puts the total magnetic moment at 0.00 μB per atom.

The structure belongs to space group P4/mmm (No. 123); the cell edges are 3.6425, 3.6425 and 4.6225 Å and the angles 90.00°, 90.00° and 90.00°. The inequivalent atoms are Re at (0.0000, 0.5000, 0.0000) and Te at (0.0000, 0.0000, 0.5000).



A plane-wave DFT calculation with PBE-GGA was carried out for an optimized crystal structure of Re2Te3.

The raw total energy is -257.17 eV per cell. For the volume, the calculation gives 23.3 Å³ per atom. Its excess energy over the best structure of this formula in the dataset is 0.026 eV/atom. For the uncorrected formation energy, the calculation gives 435 meV per atom. The calculation puts the total magnetic moment at 0.00 μB per atom.

The structure belongs to space group Fdd2 (No. 43); the cell edges are 11.5111, 16.1157 and 5.0136 Å and the angles 90.00°, 90.00° and 90.00°. The inequivalent atoms are Re at (0.0824, 0.1557, 0.0000), Te at (0.0000, 0.0000, 0.9505) and Te at (0.0009, 0.1809, 0.5011).



A plane-wave DFT calculation with PBE-GGA was carried out for an optimized crystal structure of ReTe.

The raw total energy is -29.36 eV per cell. For the volume, the calculation gives 23.5 Å³ per atom. Its excess energy over the best structure of this formula in the dataset is 0.125 eV/atom. For the uncorrected formation energy, the calculation gives 454 meV per atom. The calculation puts the total magnetic moment at 0.00 μB per atom.

The structure belongs to space group Pmmn (No. 59, origin choice 2); the cell edges are 3.1017, 4.2360 and 7.1496 Å and the angles 90.00°, 90.00° and 90.00°. The inequivalent atoms are Re at (0.2500, 0.2500, 0.0438) and Te at (0.2500, 0.7500, 0.2893).